The following is a PBE+U calculation of a relaxed TaNb2CoF crystal, from Alexandria.

final energy	-7.768	eV/atom

Cell lengths 4.4219, 4.4219, 3.9621 Å; angles 90.00, 90.00, 90.00 degrees
Closest atoms and distances in Å follow each position.
Space group P4/mmm (No. 123)
Asymmetric unit:
Ta 0.0000 0.0000 0.0000 [1 per cell]  8 Nb 2.97, 4 Co 3.13
Nb 0.0000 0.5000 0.5000 [2 per cell]  2 F 2.21
Co 0.5000 0.5000 0.0000 [1 per cell]  2 F 1.98
F 0.5000 0.5000 0.5000 [1 per cell]  2 Co 1.98, 4 Nb 2.21